1.
Cs2AgSnHg | PBE | relaxed

The structure in POSCAR format:
```
Cs2AgSnHg
1.0
7.1182 0.0000 0.0000
0.0000 7.1182 0.0000
0.0000 0.0000 5.2118
Cs Ag Sn Hg
2 1 1 1
direct
0.0000 0.5000 0.0000
0.5000 0.0000 0.0000
0.0000 0.0000 0.0000
0.0000 0.0000 0.5000
0.5000 0.5000 0.5000
```

2.
Ca2YTlPt | PBE | relaxed

The structure in POSCAR format:
```
Ca2YTlPt
1.0
5.5472 0.0000 0.0000
0.0000 5.5472 0.0000
0.0000 0.0000 5.4031
Ca Y Tl Pt
2 1 1 1
direct
0.0000 0.5000 0.0000
0.5000 0.0000 0.0000
0.0000 0.0000 0.5000
0.5000 0.5000 0.5000
0.0000 0.0000 0.0000
```

3.
TmCdSnHg | PBE | relaxed

The structure in POSCAR format:
```
TmCdSnHg
1.0
4.3263 0.0000 0.0000
0.0000 4.5483 0.0000
0.0000 0.0000 4.8485
Tm Cd Sn Hg
1 1 1 1
direct
0.0000 0.0000 0.0000
0.0000 0.5000 0.5000
0.5000 0.5000 0.0000
0.5000 0.0000 0.5000
```

## Properties
Polymorph energy (0 for the lowest one)   0.0 meV per atom

4.
Zr6In5Hg | PBE | relaxed

The structure in POSCAR format:
```
Zr6In5Hg
1.0
2.2366 -6.6824 0.0000
2.2366 6.6824 0.0000
0.0000 0.0000 8.8487
Zr In Hg
6 5 1
direct
0.0000 0.0000 0.2504
0.0000 0.0000 0.7496
0.3334 0.6666 0.2497
0.3334 0.6666 0.7503
0.6666 0.3334 0.2497
0.6666 0.3334 0.7503
0.1660 0.8340 0.0000
0.1669 0.8331 0.5000
0.5000 0.5000 0.5000
0.8331 0.1669 0.5000
0.8340 0.1660 0.0000
0.5000 0.5000 0.0000
```

Computed E, in the same sequence as the records: -8.97, -21.18, -11.22, -68.86 eV/cell.